Cr2RhW | PBE | optimized geometry

- D(E_F): 16.5 states/eV/cell
- ΔE to the lowest computed polymorph: 249 meV per atom
- DFT formation energy: 0.291 eV per atom
- Magnetic moment: 0.006 μB per atom

```
data_Cr2RhW
_chemical_formula_sum 'Cr6 Rh3 W3'
_symmetry_space_group_name_H-M 'R -3 m'
_symmetry_Int_Tables_number 166
_symmetry_space_group_name_Hall '-R 3 2"'
_cell_length_a 2.6785
_cell_length_b 2.6785
_cell_length_c 26.6680
_cell_angle_alpha 90.00
_cell_angle_beta 90.00
_cell_angle_gamma 120.00
loop_
_atom_site_label
_atom_site_type_symbol
_atom_site_fract_x
_atom_site_fract_y
_atom_site_fract_z
_atom_site_occupancy
Cr1 Cr 0.0000 0.0000 0.2456 1
Rh1 Rh 0.0000 0.0000 0.5000 1
W1 W 0.0000 0.0000 0.0000 1
```

---

TeAs2Cl | PBE | optimized geometry

- ΔE_f (raw): 0.268 eV/atom
- D(E_F): 6.1 states/eV/cell
- ΔE to the lowest computed polymorph: 405 meV per atom
- Magnetic moment: 0.000 μB per atom

```
data_TeAs2Cl
_chemical_formula_sum 'Te2 As4 Cl2'
_symmetry_space_group_name_H-M 'C m m 2'
_symmetry_Int_Tables_number 35
_cell_length_a 3.637
_cell_length_b 5.305
_cell_length_c 9.353
_cell_angle_alpha 90.00
_cell_angle_beta 90.00
_cell_angle_gamma 90.00
loop_
_symmetry_equiv_pos_as_xyz
'x,y,z'
'-x,-y,z'
'-x,y,z'
'x,-y,z'
'x+1/2,y+1/2,z'
'-x+1/2,-y+1/2,z'
'-x+1/2,y+1/2,z'
'x+1/2,-y+1/2,z'
loop_
_atom_site_label
_atom_site_type_symbol
_atom_site_fract_x
_atom_site_fract_y
_atom_site_fract_z
_atom_site_occupancy
Te1 Te 0.000 0.000 0.000 1
As1 As 0.000 0.000 0.513 1
As2 As 0.000 0.500 0.713 1
Cl1 Cl 0.000 0.500 0.287 1
```

---

ScP2Cl | PBE | optimized geometry

- ΔE_f (raw): -0.603 eV/atom
- D(E_F): 13.7 states/eV/cell
- ΔE to the lowest computed polymorph: 327 meV per atom
- Magnetic moment: 0.000 μB per atom

```
data_ScP2Cl
_chemical_formula_sum 'Sc4 P8 Cl4'
_symmetry_space_group_name_H-M 'I -4 2 d'
_symmetry_Int_Tables_number 122
_symmetry_space_group_name_Hall 'I -4 2bw'
_cell_length_a 3.748
_cell_length_b 3.748
_cell_length_c 21.243
_cell_angle_alpha 90.00
_cell_angle_beta 90.00
_cell_angle_gamma 90.00
loop_
_atom_site_label
_atom_site_type_symbol
_atom_site_fract_x
_atom_site_fract_y
_atom_site_fract_z
_atom_site_occupancy
Sc1 Sc 0.000 0.000 0.000 1
P1 P 0.171 0.250 0.125 1
Cl1 Cl 0.000 0.000 0.500 1
```

---

RbTbSO | PBE | optimized geometry

- ΔE_f (raw): -2.150 eV/atom
- D(E_F): 0.0 states/eV/cell
- Magnetic moment: 0.000 μB per atom

```
data_RbTbSO
_chemical_formula_sum 'Rb2 Tb2 S2 O2'
_symmetry_space_group_name_H-M 'C 1 m 1'
_symmetry_Int_Tables_number 8
_cell_length_a 6.518
_cell_length_b 3.763
_cell_length_c 7.713
_cell_angle_alpha 90.00
_cell_angle_beta 106.28
_cell_angle_gamma 90.00
loop_
_symmetry_equiv_pos_as_xyz
'x,y,z'
'x,-y,z'
'x+1/2,y+1/2,z'
'x+1/2,-y+1/2,z'
loop_
_atom_site_label
_atom_site_type_symbol
_atom_site_fract_x
_atom_site_fract_y
_atom_site_fract_z
_atom_site_occupancy
Rb1 Rb 0.000 0.000 0.000 1
Tb1 Tb 0.157 0.000 0.467 1
S1 S 0.066 0.500 0.696 1
O1 O 0.280 0.500 0.338 1
```

---

Pm5Pr2Ir4 | PBE | optimized geometry

- D(E_F): 16.7 states/eV/cell
- DFT formation energy: -0.307 eV per atom
- Magnetic moment: 0.000 μB per atom

```
data_Pm5Pr2Ir4
_chemical_formula_sum 'Pm10 Pr4 Ir8'
_symmetry_space_group_name_H-M 'C 1 2/m 1'
_symmetry_Int_Tables_number 12
_cell_length_a 24.791
_cell_length_b 3.846
_cell_length_c 7.066
_cell_angle_alpha 90.00
_cell_angle_beta 94.70
_cell_angle_gamma 90.00
loop_
_symmetry_equiv_pos_as_xyz
'x,y,z'
'-x,-y,-z'
'-x,y,-z'
'x,-y,z'
'x+1/2,y+1/2,z'
'-x+1/2,-y+1/2,-z'
'-x+1/2,y+1/2,-z'
'x+1/2,-y+1/2,z'
loop_
_atom_site_label
_atom_site_type_symbol
_atom_site_fract_x
_atom_site_fract_y
_atom_site_fract_z
_atom_site_occupancy
Pm1 Pm 0.000 0.000 0.000 1
Pm2 Pm 0.134 0.500 0.192 1
Pm3 Pm 0.231 0.500 0.705 1
Pr1 Pr 0.085 0.500 0.649 1
Ir1 Ir 0.027 0.500 0.292 1
Ir2 Ir 0.169 0.000 0.483 1
```

---

Cs2Sm2ZrS6 | PBE | optimized geometry

- ΔE_f (raw): -1.770 eV/atom
- D(E_F): 0.0 states/eV/cell
- Magnetic moment: 0.000 μB per atom

```
data_Cs2Sm2ZrS6
_chemical_formula_sum 'Cs4 Sm4 Zr2 S12'
_symmetry_space_group_name_H-M 'C 1 2/m 1'
_symmetry_Int_Tables_number 12
_cell_length_a 6.989
_cell_length_b 12.008
_cell_length_c 8.591
_cell_angle_alpha 90.00
_cell_angle_beta 106.10
_cell_angle_gamma 90.00
loop_
_symmetry_equiv_pos_as_xyz
'x,y,z'
'-x,-y,-z'
'-x,y,-z'
'x,-y,z'
'x+1/2,y+1/2,z'
'-x+1/2,-y+1/2,-z'
'-x+1/2,y+1/2,-z'
'x+1/2,-y+1/2,z'
loop_
_atom_site_label
_atom_site_type_symbol
_atom_site_fract_x
_atom_site_fract_y
_atom_site_fract_z
_atom_site_occupancy
Cs1 Cs 0.000 0.169 0.000 1
Sm1 Sm 0.000 0.333 0.500 1
Zr1 Zr 0.000 0.000 0.500 1
S1 S 0.217 0.156 0.678 1
S2 S 0.249 0.000 0.323 1
```

---

YTeAs2 | PBE | optimized geometry

- ΔE_f (raw): -0.573 eV/atom
- D(E_F): 2.3 states/eV/cell
- Magnetic moment: 0.000 μB per atom

```
data_YTeAs2
_chemical_formula_sum 'Y1 Te1 As2'
_symmetry_space_group_name_H-M 'P 1 2/m 1'
_symmetry_Int_Tables_number 10
_cell_length_a 4.123
_cell_length_b 3.837
_cell_length_c 6.517
_cell_angle_alpha 90.00
_cell_angle_beta 105.57
_cell_angle_gamma 90.00
loop_
_symmetry_equiv_pos_as_xyz
'x,y,z'
'-x,-y,-z'
'-x,y,-z'
'x,-y,z'
loop_
_atom_site_label
_atom_site_type_symbol
_atom_site_fract_x
_atom_site_fract_y
_atom_site_fract_z
_atom_site_occupancy
Y1 Y 0.000 0.000 0.000 1
Te1 Te 0.000 0.000 0.500 1
As1 As 0.426 0.500 0.796 1
```

---

AcNdDyTm2 | PBE | optimized geometry

- D(E_F): 16.8 states/eV/cell
- DFT formation energy: 0.048 eV per atom
- Magnetic moment: 0.000 μB per atom

```
data_AcNdDyTm2
_chemical_formula_sum 'Ac2 Nd2 Dy2 Tm4'
_symmetry_space_group_name_H-M 'P 1 21/m 1'
_symmetry_Int_Tables_number 11
_cell_length_a 6.369
_cell_length_b 5.824
_cell_length_c 9.747
_cell_angle_alpha 90.00
_cell_angle_beta 108.80
_cell_angle_gamma 90.00
loop_
_symmetry_equiv_pos_as_xyz
'x,y,z'
'-x,-y,-z'
'-x,y+1/2,-z'
'x,-y+1/2,z'
loop_
_atom_site_label
_atom_site_type_symbol
_atom_site_fract_x
_atom_site_fract_y
_atom_site_fract_z
_atom_site_occupancy
Ac1 Ac 0.069 0.250 0.304 1
Nd1 Nd 0.137 0.750 0.098 1
Dy1 Dy 0.337 0.750 0.503 1
Tm1 Tm 0.281 0.250 0.707 1
Tm2 Tm 0.465 0.250 0.096 1
```

---

BiHAuIN | PBE | optimized geometry

- D(E_F): 1.2 states/eV/cell
- ΔE to the lowest computed polymorph: 42 meV per atom
- Magnetic moment: 0.000 μB per atom

```
data_BiHAuIN
_chemical_formula_sum 'Bi1 H1 Au1 I1 N1'
_symmetry_space_group_name_H-M 'P 1'
_symmetry_Int_Tables_number 1
_cell_length_a 4.041
_cell_length_b 5.179
_cell_length_c 6.157
_cell_angle_alpha 84.70
_cell_angle_beta 84.37
_cell_angle_gamma 85.99
loop_
_symmetry_equiv_pos_as_xyz
'x,y,z'
loop_
_atom_site_label
_atom_site_type_symbol
_atom_site_fract_x
_atom_site_fract_y
_atom_site_fract_z
_atom_site_occupancy
Bi1 Bi 0.000 0.000 0.000 1
H1 H 0.935 0.535 0.253 1
Au1 Au 0.475 0.444 0.038 1
I1 I 0.164 0.957 0.515 1
N1 N 0.958 0.550 0.084 1
```

---

Y2TlIn2 | PBE | optimized geometry

- D(E_F): 4.2 states/eV/cell
- ΔE to the lowest computed polymorph: 110 meV per atom
- DFT formation energy: -0.260 eV per atom
- Magnetic moment: 0.000 μB per atom

```
data_Y2TlIn2
_chemical_formula_sum 'Y4 Tl2 In4'
_symmetry_space_group_name_H-M 'P 4/m b m'
_symmetry_Int_Tables_number 127
_symmetry_space_group_name_Hall '-P 4 2ab'
_cell_length_a 8.739
_cell_length_b 8.739
_cell_length_c 3.790
_cell_angle_alpha 90.00
_cell_angle_beta 90.00
_cell_angle_gamma 90.00
loop_
_atom_site_label
_atom_site_type_symbol
_atom_site_fract_x
_atom_site_fract_y
_atom_site_fract_z
_atom_site_occupancy
Y1 Y 0.172 0.328 0.000 1
Tl1 Tl 0.000 0.000 0.000 1
In1 In 0.129 0.629 0.500 1
```

---

AlGePt2 | PBE | optimized geometry

- D(E_F): 1.1 states/eV/cell
- DFT formation energy: -0.571 eV per atom
- Magnetic moment: 0.000 μB per atom

```
data_AlGePt2
_chemical_formula_sum 'Al1 Ge1 Pt2'
_symmetry_space_group_name_H-M 'P 4/m m m'
_symmetry_Int_Tables_number 123
_symmetry_space_group_name_Hall '-P 4 2'
_cell_length_a 3.077
_cell_length_b 3.077
_cell_length_c 6.616
_cell_angle_alpha 90.00
_cell_angle_beta 90.00
_cell_angle_gamma 90.00
loop_
_atom_site_label
_atom_site_type_symbol
_atom_site_fract_x
_atom_site_fract_y
_atom_site_fract_z
_atom_site_occupancy
Al1 Al 0.000 0.000 0.000 1
Ge1 Ge 0.000 0.000 0.500 1
Pt1 Pt 0.500 0.500 0.223 1
```